A geometry-optimized Si2RhO structure, computed with PBE.

The structure in extended XYZ format:
```
8
Lattice="-2.554 2.554 4.556 2.554 -2.554 4.556 2.554 2.554 -4.556" Properties=species:S:1:pos:R:3 pbc="T T T"
Si 3.830 1.053 -1.139
Si 1.053 1.277 1.139
Si -1.277 1.501 3.417
Si 1.501 1.277 5.696
Rh 2.554 0.000 2.278
Rh 0.000 0.000 4.556
O 0.000 0.000 0.000
O 0.000 2.554 2.278
```

Computed properties:
DOS(E_F), states/eV per cell: 4.05
Uncorrected formation energy, eV/atom: -0.54
Crystal system: tetragonal

A geometry-optimized Sm3ErF structure, computed with PBE.

The structure in extended XYZ format:
```
5
Lattice="5.108 0.000 0.000 0.000 5.108 0.000 0.000 0.000 5.108" Properties=species:S:1:pos:R:3 pbc="T T T"
Sm 0.000 0.000 2.554
Sm 0.000 2.554 0.000
Sm 2.554 0.000 0.000
Er 2.554 2.554 2.554
F 0.000 0.000 0.000
```

Computed properties:
DOS(E_F), states/eV per cell: 5.28
Uncorrected formation energy, eV/atom: -0.96
Crystal system: cubic

A geometry-optimized CaSiIr structure, computed with PBE.

The structure in extended XYZ format:
```
3
Lattice="4.037 0.000 0.000 -2.018 3.496 0.000 0.000 0.000 4.484" Properties=species:S:1:pos:R:3 pbc="T T T"
Ca 0.000 0.000 0.000
Si 0.000 2.331 2.242
Ir 2.018 1.165 2.242
```

Computed properties:
DOS(E_F), states/eV per cell: 2.53
Uncorrected formation energy, eV/atom: -0.70
Crystal system: hexagonal

A geometry-optimized TcAgCl2 structure, computed with PBE.

The structure in extended XYZ format:
```
4
Lattice="1.532 -2.691 0.000 1.532 2.691 0.000 0.000 0.000 9.602" Properties=species:S:1:pos:R:3 pbc="T T T"
Tc 0.000 0.000 0.000
Ag 1.532 0.000 7.259
Cl 0.000 0.000 5.191
Cl 1.532 0.000 1.799
```

Computed properties:
DOS(E_F), states/eV per cell: 3.26
Energy relative to the lowest polymorph listed for this composition, eV per atom: 0.2766
Uncorrected formation energy, eV/atom: 0.25
Crystal system: orthorhombic

A geometry-optimized Li7Tl4Pt structure, computed with PBE.

The structure in extended XYZ format:
```
12
Lattice="7.043 -2.465 0.000 7.043 2.465 0.000 -5.009 0.000 6.890" Properties=species:S:1:pos:R:3 pbc="T T T"
Li 0.000 0.000 0.000
Li 0.140 0.000 3.766
Li -0.441 0.000 6.829
Li 2.926 0.000 4.544
Li 6.152 0.000 2.346
Li 9.520 0.000 0.061
Li 8.939 0.000 3.124
Tl -2.690 0.000 5.045
Tl 2.292 0.000 1.729
Tl 6.787 0.000 5.161
Tl 11.769 0.000 1.845
Pt 7.043 0.000 0.000
```

Computed properties:
DOS(E_F), states/eV per cell: 4.62
Crystal system: monoclinic
Formation energy, eV per atom: -0.187

A geometry-optimized Sm2GeAu structure, computed with PBE.

The structure in extended XYZ format:
```
8
Lattice="6.037 0.000 0.000 0.000 4.422 0.000 -2.906 0.000 7.643" Properties=species:S:1:pos:R:3 pbc="T T T"
Sm 0.086 1.106 3.261
Sm -1.374 1.106 7.125
Sm 4.505 3.317 0.518
Sm 3.045 3.317 4.382
Ge -0.096 3.317 5.407
Ge 3.226 1.106 2.236
Au 1.423 3.317 1.595
Au 1.707 1.106 6.048
```

Computed properties:
DOS(E_F), states/eV per cell: 8.26
Crystal system: monoclinic
Formation energy, eV per atom: -0.806